AgSnBiSe4 after structural relaxation. Source: the Alexandria database, functional PBE.

Computed properties:
ΔE_f (raw), meV/atom: -296.3
Space group: Imma, No. 74

Geometry as POSCAR:
```
AgSnBiSe4
1.0
-0.271 4.995 6.635
-7.288 2.672 2.894
-2.792 -2.872 7.251
Ag Sn Bi Se
2 2 2 8
Cartesian
-5.075 4.432 6.862 Ag
-5.276 0.363 9.917 Ag
-1.531 1.062 6.943 Sn
-1.396 -1.436 3.626 Sn
0.000 0.000 0.000 Bi
-5.040 -0.100 5.072 Bi
-7.909 3.705 12.497 Se
-7.693 1.251 9.150 Se
-2.658 3.545 7.629 Se
-2.441 1.090 4.283 Se
-6.389 2.441 5.685 Se
-6.526 4.959 9.029 Se
-3.825 -0.164 7.751 Se
-3.962 2.354 11.095 Se
```

=====

Na2Sn2Hg3 after structural relaxation. Source: the Alexandria database, functional PBE.

Computed properties:
Space group: C2/m, No. 12
Calculated formation energy, eV per atom: -0.12

Geometry as POSCAR:
```
Na2Sn2Hg3
1.0
-0.184 2.231 -4.628
-4.054 -5.222 0.499
-3.616 4.421 2.275
Na Sn Hg
2 2 3
Cartesian
-1.929 1.572 -2.021 Na
-5.925 -0.142 0.167 Na
-3.310 1.857 1.027 Sn
-4.544 -0.427 -2.881 Sn
-2.863 -1.262 -0.495 Hg
0.000 0.000 0.000 Hg
-4.991 2.693 -1.359 Hg
```

=====

Pm8CoRu3Cl4 after structural relaxation. Source: the Alexandria database, functional PBE.

Computed properties:
ΔE_f (raw), meV/atom: -856.3
Space group: C2/m, No. 12

Geometry as POSCAR:
```
Pm8CoRu3Cl4
1.0
-3.276 6.324 3.620
3.361 -2.701 7.762
5.174 1.066 -5.995
Pm Co Ru Cl
8 1 3 4
Cartesian
6.628 0.608 0.488 Pm
4.018 0.071 3.513 Pm
2.849 1.442 0.060 Pm
4.975 3.799 2.315 Pm
0.284 0.889 3.072 Pm
2.410 3.246 5.327 Pm
1.241 4.617 1.874 Pm
-1.369 4.080 4.898 Pm
1.681 -1.351 3.881 Co
0.043 1.811 5.691 Ru
2.629 2.344 2.693 Ru
4.268 -0.818 0.883 Ru
-1.638 3.162 1.810 Cl
0.949 3.695 -1.188 Cl
0.000 0.000 0.000 Cl
2.587 0.533 -2.998 Cl
```

=====

LiEr5Tl4 after structural relaxation. Source: the Alexandria database, functional PBE.

Computed properties:
Space group: P4/mmm, No. 123
Calculated formation energy, eV per atom: -0.23

Geometry as POSCAR:
```
LiEr5Tl4
1.0
3.719 0.000 0.000
0.000 3.719 0.000
0.000 0.000 19.006
Li Er Tl
1 5 4
Cartesian
0.000 0.000 0.000 Li
1.860 1.860 1.781 Er
1.860 1.860 5.632 Er
1.860 1.860 9.503 Er
1.860 1.860 13.373 Er
1.860 1.860 17.224 Er
0.000 0.000 3.642 Tl
0.000 0.000 7.566 Tl
0.000 0.000 11.440 Tl
0.000 0.000 15.364 Tl
```

=====

Nd2DySb3Rh4 after structural relaxation. Source: the Alexandria database, functional PBE.

Computed properties:
ΔE_f (raw), meV/atom: -860.4
Space group: P-4m2, No. 115

Geometry as POSCAR:
```
Nd2DySb3Rh4
1.0
-1.683 -2.520 -3.194
-2.978 -1.592 2.825
-7.201 8.418 -2.846
Nd Dy Sb Rh
2 1 3 4
Cartesian
-2.471 0.644 -2.241 Nd
-7.061 5.718 -0.790 Nd
-5.931 2.153 -1.608 Dy
-3.600 4.209 -1.423 Sb
-7.103 6.060 -4.072 Sb
-2.429 0.302 1.041 Sb
-2.331 -2.056 -0.185 Rh
0.000 0.000 0.000 Rh
-5.486 4.170 -3.433 Rh
-4.045 2.192 0.402 Rh
```

=====

LaSnF7 after structural relaxation. Source: the Alexandria database, functional PBE.

Computed properties:
ΔE_f (raw), meV/atom: -3262.4
Space group: P2_1/c, No. 14

Geometry as POSCAR:
```
LaSnF7
1.0
5.868 0.000 0.000
0.000 9.391 0.002
0.000 5.900 11.126
La Sn F
4 4 28
Cartesian
4.447 9.173 2.950 La
1.513 3.167 2.615 La
1.421 6.117 8.178 La
4.355 12.123 8.513 La
1.435 10.023 6.041 Sn
4.369 8.217 10.650 Sn
4.433 5.268 5.087 Sn
1.499 7.073 0.478 Sn
5.650 9.406 5.078 F
2.716 2.935 0.487 F
0.218 5.885 6.050 F
3.152 12.355 10.641 F
0.309 12.099 10.254 F
3.243 6.142 6.437 F
5.559 3.192 0.874 F
2.625 9.149 4.691 F
4.307 9.901 9.580 F
1.373 8.339 7.111 F
1.561 5.389 1.548 F
4.495 6.951 4.017 F
4.341 0.620 0.576 F
1.407 11.720 4.989 F
1.527 14.670 10.552 F
4.461 3.570 6.139 F
0.281 10.912 7.426 F
3.215 7.329 9.265 F
5.587 4.379 3.702 F
2.653 7.962 1.863 F
0.095 7.616 9.599 F
3.029 10.624 7.092 F
5.773 7.674 1.529 F
2.839 4.666 4.036 F
0.494 10.477 2.586 F
3.428 1.863 2.979 F
5.374 4.813 8.542 F
2.440 13.427 8.149 F
```

=====

Cs3Ho2ErS6 after structural relaxation. Source: the Alexandria database, functional PBE.

Computed properties:
ΔE_f (raw), meV/atom: -1831.6
Space group: C2/m, No. 12

Geometry as POSCAR:
```
Cs3Ho2ErS6
1.0
7.072 -0.001 0.000
-3.535 6.125 0.000
-1.179 -2.042 8.059
Cs Ho Er S
3 2 1 6
Cartesian
-2.355 4.082 4.030 Cs
4.712 0.000 4.030 Cs
1.179 2.041 4.030 Cs
0.001 4.083 0.000 Ho
3.536 2.041 0.000 Ho
0.000 0.000 0.000 Er
3.532 2.046 6.604 S
2.361 4.089 1.457 S
-1.175 2.035 1.455 S
0.007 4.082 6.604 S
-0.004 -0.007 6.603 S
2.350 0.000 1.455 S
```

=====

SrYRe2 after structural relaxation. Source: the Alexandria database, functional PBE.

Computed properties:
Space group: P2/m, No. 10
Calculated formation energy, eV per atom: 0.70
ΔE to the lowest computed polymorph, eV/f.u.: 1.83

Geometry as POSCAR:
```
SrYRe2
1.0
4.672 0.000 0.000
0.000 3.157 0.009
0.000 2.485 6.808
Re Sr Y
2 1 1
Cartesian
0.000 2.633 6.253 Re
0.000 2.673 3.963 Re
2.336 1.411 1.704 Sr
2.336 4.232 5.113 Y
```

=====

Ba2NpSb3Pt4 after structural relaxation. Source: the Alexandria database, functional PBE.

Computed properties:
ΔE_f (raw), meV/atom: -715.2
Space group: P-4m2, No. 115

Geometry as POSCAR:
```
Ba2NpSb3Pt4
1.0
-2.853 3.058 2.235
-1.948 -3.585 2.417
7.731 1.276 8.123
Ba Np Sb Pt
2 1 3 4
Cartesian
0.366 1.825 3.001 Ba
4.964 -0.812 7.448 Ba
1.465 0.375 6.388 Np
3.865 0.638 4.061 Sb
5.380 2.653 8.270 Sb
-0.050 -1.640 2.179 Sb
-2.401 -0.263 2.326 Pt
0.000 0.000 0.000 Pt
3.522 2.346 6.318 Pt
1.807 -1.333 4.131 Pt
```

=====

Mn3CdCl after structural relaxation. Source: the Alexandria database, functional PBE.

Computed properties:
ΔE_f (raw), meV/atom: 981.8
Space group: Pm-3m, No. 221
ΔE to the lowest computed polymorph, eV/f.u.: 1.74

Geometry as POSCAR:
```
Mn3CdCl
1.0
-0.609 4.373 -2.699
-2.929 1.938 3.801
4.223 1.975 2.247
Cl Mn Cd
1 3 1
Cartesian
0.342 4.143 1.675 Cl
-1.464 0.969 1.901 Mn
2.111 0.987 1.124 Mn
-0.305 2.187 -1.349 Mn
0.000 0.000 0.000 Cd
```

=====

Cd2Sn2Bi after structural relaxation. Source: the Alexandria database, functional PBE.

Computed properties:
Space group: I4/mmm, No. 139
Calculated formation energy, eV per atom: 0.12
ΔE to the lowest computed polymorph, eV/f.u.: 0.13

Geometry as POSCAR:
```
Cd2Sn2Bi
1.0
4.232 0.000 0.000
0.000 4.232 0.000
2.116 2.116 7.969
Cd Bi Sn
2 1 2
Cartesian
4.232 2.116 3.985 Cd
2.116 4.232 3.985 Cd
0.000 0.000 0.000 Bi
2.116 2.116 1.587 Sn
4.232 4.232 6.383 Sn
```

=====

PmScHg2 after structural relaxation. Source: the Alexandria database, functional PBE.

Computed properties:
Space group: P4/mmm, No. 123
Calculated formation energy, eV per atom: -0.45
ΔE to the lowest computed polymorph, eV/f.u.: 0.00

Geometry as POSCAR:
```
PmScHg2
1.0
3.608 0.000 0.000
0.000 3.608 0.000
0.000 0.000 7.557
Sc Hg Pm
1 2 1
Cartesian
1.804 1.804 0.000 Sc
0.000 0.000 5.898 Hg
0.000 0.000 1.659 Hg
1.804 1.804 3.778 Pm
```

=====

Ac4Ga3Ir5 after structural relaxation. Source: the Alexandria database, functional PBE.

Computed properties:
Space group: C2/m, No. 12
Calculated formation energy, eV per atom: -0.55

Geometry as POSCAR:
```
Ac4Ga3Ir5
1.0
4.688 0.000 0.000
2.344 7.417 0.157
2.344 2.727 9.247
Ac Ga Ir
4 3 5
Cartesian
7.032 4.208 7.903 Ac
4.688 7.507 6.771 Ac
4.688 2.638 2.633 Ac
2.344 5.936 1.502 Ac
4.688 7.263 3.437 Ga
2.344 5.072 4.702 Ga
4.688 2.881 5.967 Ga
7.032 9.374 8.402 Ir
4.688 5.072 4.702 Ir
2.344 3.208 0.334 Ir
7.032 6.936 9.070 Ir
2.344 0.770 1.002 Ir
```

=====

CdPH after structural relaxation. Source: the Alexandria database, functional PBE.

Computed properties:
Space group: Pmm2, No. 25
ΔE to the lowest computed polymorph, eV/f.u.: 1.59

Geometry as POSCAR:
```
CdPH
1.0
-1.158 -2.718 0.344
1.757 -0.480 2.128
-4.150 2.267 3.937
Cd P H
1 1 1
Cartesian
-1.797 -0.454 3.225 Cd
-2.727 1.729 4.485 P
-1.849 -0.665 1.377 H
```

=====

Co2TcMo after structural relaxation. Source: the Alexandria database, functional PBE.

Computed properties:
Space group: F222, No. 22
Calculated formation energy, eV per atom: 0.10
ΔE to the lowest computed polymorph, eV/f.u.: 0.52

Geometry as POSCAR:
```
Co2TcMo
1.0
-3.936 -0.752 2.114
-1.210 -4.317 -0.654
3.883 1.835 1.460
Co Mo Tc
2 1 1
Cartesian
0.000 0.000 0.000 Co
0.050 -2.508 0.768 Co
-2.573 -2.534 0.730 Mo
-1.313 -0.726 2.152 Tc
```

=====

Number 1: V 404.5 Å³ per cell, calculated density 6.170 Mg/m³. Number 2: V 189.5 Å³ per cell, calculated density 7.758 Mg/m³. Number 3: V 419.0 Å³ per cell, calculated density 6.595 Mg/m³. Number 4: V 262.9 Å³ per cell, calculated density 10.490 Mg/m³. Number 5: V 221.7 Å³ per cell, calculated density 9.197 Mg/m³. Number 6: V 613.0 Å³ per cell, calculated density 4.232 Mg/m³. Number 7: V 349.0 Å³ per cell, calculated density 5.177 Mg/m³. Number 8: V 100.3 Å³ per cell, calculated density 9.087 Mg/m³. Number 9: V 253.8 Å³ per cell, calculated density 10.843 Mg/m³. Number 10: V 138.6 Å³ per cell, calculated density 3.746 Mg/m³. Number 11: V 142.7 Å³ per cell, calculated density 7.810 Mg/m³. Number 12: V 98.4 Å³ per cell, calculated density 9.979 Mg/m³. Number 13: V 319.5 Å³ per cell, calculated density 10.800 Mg/m³. Number 14: V 51.3 Å³ per cell, calculated density 4.676 Mg/m³. Number 15: V 51.4 Å³ per cell, calculated density 10.072 Mg/m³.